Record 1
# MgBiTePt2, optimized geometry, DFT PBE
data_MgBiTePt2
_symmetry_space_group_name_H-M 'P 1'
_symmetry_Int_Tables_number 1
_cell_length_a 4.761
_cell_length_b 5.463
_cell_length_c 4.761
_cell_angle_alpha 90.00
_cell_angle_beta 90.00
_cell_angle_gamma 90.00
loop_
_symmetry_equiv_pos_as_xyz
'x,y,z'
loop_
_atom_site_label
_atom_site_type_symbol
_atom_site_fract_x
_atom_site_fract_y
_atom_site_fract_z
Bi1 Bi 0.000 0.500 0.000
Mg1 Mg 0.000 0.000 0.000
Pt1 Pt 0.500 0.000 0.000
Te1 Te 0.500 0.500 0.500
Pt2 Pt 0.000 0.000 0.500
# Electronic total energy in eV per atom: -3.530



Record 2
# MgZnBiPt2, optimized geometry, DFT PBE
data_MgZnBiPt2
_symmetry_space_group_name_H-M 'P 1'
_symmetry_Int_Tables_number 1
_cell_length_a 5.162
_cell_length_b 5.090
_cell_length_c 5.162
_cell_angle_alpha 90.00
_cell_angle_beta 90.00
_cell_angle_gamma 90.00
loop_
_symmetry_equiv_pos_as_xyz
'x,y,z'
loop_
_atom_site_label
_atom_site_type_symbol
_atom_site_fract_x
_atom_site_fract_y
_atom_site_fract_z
Bi1 Bi 0.000 0.000 0.000
Pt1 Pt 0.000 0.000 0.500
Pt2 Pt 0.500 0.000 0.000
Zn1 Zn 0.000 0.500 0.000
Mg1 Mg 0.500 0.500 0.500
# Energy of formation in eV per atom: 0.677



Record 3
# Pu2MgBi, optimized geometry, DFT PBE
data_Pu2MgBi
_symmetry_space_group_name_H-M 'P 1'
_symmetry_Int_Tables_number 1
_cell_length_a 4.857
_cell_length_b 4.687
_cell_length_c 4.687
_cell_angle_alpha 90.00
_cell_angle_beta 90.00
_cell_angle_gamma 90.00
loop_
_symmetry_equiv_pos_as_xyz
'x,y,z'
loop_
_atom_site_label
_atom_site_type_symbol
_atom_site_fract_x
_atom_site_fract_y
_atom_site_fract_z
Pu1 Pu 0.000 0.500 0.000
Pu2 Pu 0.000 0.000 0.500
Bi1 Bi 0.500 0.500 0.500
Mg1 Mg 0.500 0.000 0.000
# ΔE to the lowest computed polymorph in meV per atom: 0
# Energy of formation in eV per atom: -0.162



Record 4
# Pu2MgBi3, optimized geometry, DFT PBE
data_Pu2MgBi3
_symmetry_space_group_name_H-M 'P 1'
_symmetry_Int_Tables_number 1
_cell_length_a 4.624
_cell_length_b 6.414
_cell_length_c 7.594
_cell_angle_alpha 114.98
_cell_angle_beta 107.72
_cell_angle_gamma 90.00
loop_
_symmetry_equiv_pos_as_xyz
'x,y,z'
loop_
_atom_site_label
_atom_site_type_symbol
_atom_site_fract_x
_atom_site_fract_y
_atom_site_fract_z
Bi1 Bi 0.338 0.338 0.675
Bi2 Bi 0.662 0.662 0.325
Bi3 Bi 0.000 0.000 0.000
Mg1 Mg 0.000 0.500 0.000
Pu1 Pu 0.668 0.168 0.336
Pu2 Pu 0.332 0.832 0.664
# Energy of formation in eV per atom: -0.178



Record 5
# Pu2MgBi, optimized geometry, DFT PBE
data_Pu2MgBi
_symmetry_space_group_name_H-M 'P 1'
_symmetry_Int_Tables_number 1
_cell_length_a 5.415
_cell_length_b 5.415
_cell_length_c 5.415
_cell_angle_alpha 60.00
_cell_angle_beta 60.00
_cell_angle_gamma 60.00
loop_
_symmetry_equiv_pos_as_xyz
'x,y,z'
loop_
_atom_site_label
_atom_site_type_symbol
_atom_site_fract_x
_atom_site_fract_y
_atom_site_fract_z
Pu1 Pu 0.250 0.250 0.250
Pu2 Pu 0.750 0.750 0.750
Bi1 Bi 0.000 0.000 0.000
Mg1 Mg 0.500 0.500 0.500
# ΔE to the lowest computed polymorph in meV per atom: 92
# Energy of formation in eV per atom: -0.069



Record 6
# PuMgBi, optimized geometry, DFT PBE
data_PuMgBi
_symmetry_space_group_name_H-M 'P 1'
_symmetry_Int_Tables_number 1
_cell_length_a 3.403
_cell_length_b 5.254
_cell_length_c 5.254
_cell_angle_alpha 120.00
_cell_angle_beta 90.00
_cell_angle_gamma 90.00
loop_
_symmetry_equiv_pos_as_xyz
'x,y,z'
loop_
_atom_site_label
_atom_site_type_symbol
_atom_site_fract_x
_atom_site_fract_y
_atom_site_fract_z
Bi1 Bi 0.166 0.000 0.000
Pu1 Pu 0.666 0.333 0.667
Mg1 Mg 0.168 0.667 0.333
# Energy of formation in eV per atom: -0.132



Record 7
# PuMgBi2, optimized geometry, DFT PBE
data_PuMgBi2
_symmetry_space_group_name_H-M 'P 1'
_symmetry_Int_Tables_number 1
_cell_length_a 4.610
_cell_length_b 4.610
_cell_length_c 7.369
_cell_angle_alpha 71.77
_cell_angle_beta 71.77
_cell_angle_gamma 60.00
loop_
_symmetry_equiv_pos_as_xyz
'x,y,z'
loop_
_atom_site_label
_atom_site_type_symbol
_atom_site_fract_x
_atom_site_fract_y
_atom_site_fract_z
Bi1 Bi 0.087 0.087 0.740
Mg1 Mg 0.497 0.497 0.510
Pu1 Pu 0.668 0.668 0.995
Bi2 Bi 0.248 0.248 0.255
# ΔE to the lowest computed polymorph in meV per atom: 115
# Energy of formation in eV per atom: -0.181



Record 8
# PuMg2Bi3, optimized geometry, DFT PBE
data_PuMg2Bi3
_symmetry_space_group_name_H-M 'P 1'
_symmetry_Int_Tables_number 1
_cell_length_a 4.311
_cell_length_b 4.962
_cell_length_c 8.103
_cell_angle_alpha 107.83
_cell_angle_beta 90.00
_cell_angle_gamma 90.00
loop_
_symmetry_equiv_pos_as_xyz
'x,y,z'
loop_
_atom_site_label
_atom_site_type_symbol
_atom_site_fract_x
_atom_site_fract_y
_atom_site_fract_z
Bi1 Bi 0.500 0.170 0.339
Pu1 Pu 0.000 0.000 0.000
Bi2 Bi 0.500 0.830 0.661
Mg1 Mg 0.000 0.666 0.332
Mg2 Mg 0.000 0.334 0.668
Bi3 Bi 0.500 0.500 0.000
# ΔE to the lowest computed polymorph in meV per atom: 0
# Energy of formation in eV per atom: -0.228



Record 9
# PuMgBi, optimized geometry, DFT PBE
data_PuMgBi
_symmetry_space_group_name_H-M 'P 1'
_symmetry_Int_Tables_number 1
_cell_length_a 3.564
_cell_length_b 3.564
_cell_length_c 6.998
_cell_angle_alpha 104.75
_cell_angle_beta 104.75
_cell_angle_gamma 90.00
loop_
_symmetry_equiv_pos_as_xyz
'x,y,z'
loop_
_atom_site_label
_atom_site_type_symbol
_atom_site_fract_x
_atom_site_fract_y
_atom_site_fract_z
Bi1 Bi 0.276 0.276 0.553
Mg1 Mg 0.625 0.625 0.250
Pu1 Pu 0.949 0.949 0.898
# Energy of formation in eV per atom: -0.077



Record 10
# PuMgBi, optimized geometry, DFT PBE
data_PuMgBi
_symmetry_space_group_name_H-M 'P 1'
_symmetry_Int_Tables_number 1
_cell_length_a 5.328
_cell_length_b 6.428
_cell_length_c 9.254
_cell_angle_alpha 90.00
_cell_angle_beta 90.00
_cell_angle_gamma 90.00
loop_
_symmetry_equiv_pos_as_xyz
'x,y,z'
loop_
_atom_site_label
_atom_site_type_symbol
_atom_site_fract_x
_atom_site_fract_y
_atom_site_fract_z
Mg1 Mg 0.250 0.251 0.083
Bi1 Bi 0.750 0.750 0.583
Bi2 Bi 0.750 0.250 0.917
Mg2 Mg 0.250 0.751 0.417
Pu1 Pu 0.750 0.500 0.250
Mg3 Mg 0.750 0.249 0.583
Bi3 Bi 0.250 0.250 0.417
Bi4 Bi 0.250 0.750 0.083
Pu2 Pu 0.250 0.000 0.750
Mg4 Mg 0.750 0.749 0.917
Pu3 Pu 0.250 0.500 0.750
Pu4 Pu 0.750 0.000 0.250
# Energy of formation in eV per atom: -0.240



Record 11
# PuMg2Bi3, optimized geometry, DFT PBE
data_PuMg2Bi3
_symmetry_space_group_name_H-M 'P 1'
_symmetry_Int_Tables_number 1
_cell_length_a 6.215
_cell_length_b 9.020
_cell_length_c 9.020
_cell_angle_alpha 136.94
_cell_angle_beta 90.00
_cell_angle_gamma 90.00
loop_
_symmetry_equiv_pos_as_xyz
'x,y,z'
loop_
_atom_site_label
_atom_site_type_symbol
_atom_site_fract_x
_atom_site_fract_y
_atom_site_fract_z
Bi1 Bi 0.250 0.872 0.128
Pu1 Pu 0.750 0.672 0.328
Pu2 Pu 0.250 0.328 0.672
Mg1 Mg 0.500 0.732 0.732
Mg2 Mg 0.000 0.268 0.268
Bi2 Bi 0.250 0.419 0.100
Bi3 Bi 0.750 0.128 0.872
Mg3 Mg 0.000 0.732 0.732
Bi4 Bi 0.750 0.100 0.419
Bi5 Bi 0.250 0.900 0.581
Bi6 Bi 0.750 0.581 0.900
Mg4 Mg 0.500 0.268 0.268
# ΔE to the lowest computed polymorph in meV per atom: 117
# Energy of formation in eV per atom: -0.111



Record 12
# PuMgBi2, optimized geometry, DFT PBE
data_PuMgBi2
_symmetry_space_group_name_H-M 'P 1'
_symmetry_Int_Tables_number 1
_cell_length_a 5.434
_cell_length_b 5.434
_cell_length_c 5.434
_cell_angle_alpha 60.00
_cell_angle_beta 60.00
_cell_angle_gamma 60.00
loop_
_symmetry_equiv_pos_as_xyz
'x,y,z'
loop_
_atom_site_label
_atom_site_type_symbol
_atom_site_fract_x
_atom_site_fract_y
_atom_site_fract_z
Mg1 Mg 0.500 0.500 0.500
Bi1 Bi 0.250 0.250 0.250
Bi2 Bi 0.750 0.750 0.750
Pu1 Pu 0.000 0.000 0.000
# ΔE to the lowest computed polymorph in meV per atom: 137
# Energy of formation in eV per atom: -0.158



Number 1: spin magnetization 0.0000 μB/atom, density of states at the Fermi level 0.598 states/eV/atom. Number 2: spin magnetization 0.0000 μB/atom, density of states at the Fermi level 0.608 states/eV/atom. Number 3: spin magnetization 3.0286 μB/atom, density of states at the Fermi level 3.474 states/eV/atom. Number 4: spin magnetization 1.6333 μB/atom, density of states at the Fermi level 5.287 states/eV/atom. Number 5: spin magnetization 3.2448 μB/atom, density of states at the Fermi level 3.922 states/eV/atom. Number 6: spin magnetization 1.9505 μB/atom, density of states at the Fermi level 3.300 states/eV/atom. Number 7: spin magnetization 1.3603 μB/atom, density of states at the Fermi level 3.429 states/eV/atom. Number 8: spin magnetization 0.9313 μB/atom, density of states at the Fermi level 2.007 states/eV/atom. Number 9: spin magnetization 2.0571 μB/atom, density of states at the Fermi level 2.357 states/eV/atom. Number 10: spin magnetization 2.0655 μB/atom, density of states at the Fermi level 3.295 states/eV/atom. Number 11: spin magnetization 0.9287 μB/atom, density of states at the Fermi level 2.447 states/eV/atom. Number 12: spin magnetization 1.4569 μB/atom, density of states at the Fermi level 3.198 states/eV/atom.